# GGA-PBEsol Cr3NiIr, optimized geometry
# E in Ha/atom: -0.281
# Fermi-level density of states in states/eV/f.u.: 4.73
# M_tot in μB/atom: 1.9237
# Energy of formation from the pure elements in kJ per mole of atoms: 163
data_Cr3NiIr
_cell_length_a 4.5709
_cell_length_b 4.5709
_cell_length_c 4.5709
_cell_angle_alpha 90.00
_cell_angle_beta 90.00
_cell_angle_gamma 90.00
_symmetry_space_group_name_H-M 'P m -3 m'
_symmetry_Int_Tables_number 221
_symmetry_space_group_name_Hall '-P 4 2 3'
loop_
_atom_site_label
_atom_site_type_symbol
_atom_site_fract_x
_atom_site_fract_y
_atom_site_fract_z
_atom_site_occupancy
Cr1 Cr 0.0000 0.0000 0.5000 1
Ni1 Ni 0.5000 0.5000 0.5000 1
Ir1 Ir 0.0000 0.0000 0.0000 1


# GGA-PBEsol CrNiIr3, optimized geometry
# E in Ha/atom: -0.276
# Fermi-level density of states in states/eV/f.u.: 9.30
# M_tot in μB/atom: 0.2253
# Energy of formation from the pure elements in kJ per mole of atoms: 159
data_CrNiIr3
_cell_length_a 4.3784
_cell_length_b 4.3784
_cell_length_c 4.3784
_cell_angle_alpha 90.00
_cell_angle_beta 90.00
_cell_angle_gamma 90.00
_symmetry_space_group_name_H-M 'P m -3 m'
_symmetry_Int_Tables_number 221
_symmetry_space_group_name_Hall '-P 4 2 3'
loop_
_atom_site_label
_atom_site_type_symbol
_atom_site_fract_x
_atom_site_fract_y
_atom_site_fract_z
_atom_site_occupancy
Cr1 Cr 0.0000 0.0000 0.0000 1
Ni1 Ni 0.5000 0.5000 0.5000 1
Ir1 Ir 0.0000 0.0000 0.5000 1


# GGA-PBEsol Cr2IrOs, optimized geometry
# Excess energy over the best structure of this formula in the dataset in eV per atom: 0.008
# E in Ha/atom: -0.391
# Fermi-level density of states in states/eV/f.u.: 3.84
# M_tot in μB/atom: 0.0002
# Energy of formation from the pure elements in kJ per mole of atoms: -2
data_Cr2IrOs
_cell_length_a 3.9560
_cell_length_b 2.6521
_cell_length_c 9.6591
_cell_angle_alpha 90.00
_cell_angle_beta 90.00
_cell_angle_gamma 90.00
_symmetry_space_group_name_H-M 'A m m 2'
_symmetry_Int_Tables_number 38
loop_
_symmetry_equiv_pos_as_xyz
'x,y,z'
'-x,-y,z'
'-x,y,z'
'x,-y,z'
'x,y+1/2,z+1/2'
'-x,-y+1/2,z+1/2'
'-x,y+1/2,z+1/2'
'x,-y+1/2,z+1/2'
loop_
_atom_site_label
_atom_site_type_symbol
_atom_site_fract_x
_atom_site_fract_y
_atom_site_fract_z
_atom_site_occupancy
Cr1 Cr 0.0000 0.0000 0.0000 1
Cr2 Cr 0.5000 0.0000 0.1228 1
Ir1 Ir 0.5000 0.0000 0.3892 1
Os1 Os 0.0000 0.0000 0.7327 1


# GGA-PBEsol CrIr2Os, optimized geometry
# Excess energy over the best structure of this formula in the dataset in eV per atom: 0.056
# E in Ha/atom: -0.391
# Fermi-level density of states in states/eV/f.u.: 3.35
# M_tot in μB/atom: 0.2096
# Energy of formation from the pure elements in kJ per mole of atoms: -11
data_CrIr2Os
_cell_length_a 3.7702
_cell_length_b 3.7702
_cell_length_c 3.7799
_cell_angle_alpha 90.00
_cell_angle_beta 90.00
_cell_angle_gamma 90.00
_symmetry_space_group_name_H-M 'P 4/m m m'
_symmetry_Int_Tables_number 123
_symmetry_space_group_name_Hall '-P 4 2'
loop_
_atom_site_label
_atom_site_type_symbol
_atom_site_fract_x
_atom_site_fract_y
_atom_site_fract_z
_atom_site_occupancy
Cr1 Cr 0.0000 0.0000 0.0000 1
Ir1 Ir 0.0000 0.5000 0.5000 1
Os1 Os 0.5000 0.5000 0.0000 1


# GGA-PBEsol Cr2IrOs, optimized geometry
# Excess energy over the best structure of this formula in the dataset in eV per atom: 0.006
# E in Ha/atom: -0.392
# Fermi-level density of states in states/eV/f.u.: 4.60
# M_tot in μB/atom: 0.0002
# Energy of formation from the pure elements in kJ per mole of atoms: -2
data_Cr2IrOs
_cell_length_a 5.2968
_cell_length_b 7.2924
_cell_length_c 2.6408
_cell_angle_alpha 90.00
_cell_angle_beta 90.00
_cell_angle_gamma 90.00
_symmetry_space_group_name_H-M 'C m m m'
_symmetry_Int_Tables_number 65
_symmetry_space_group_name_Hall '-C 2 2'
loop_
_atom_site_label
_atom_site_type_symbol
_atom_site_fract_x
_atom_site_fract_y
_atom_site_fract_z
_atom_site_occupancy
Cr1 Cr 0.2500 0.2500 0.0000 1
Ir1 Ir 0.0000 0.0000 0.5000 1
Os1 Os 0.0000 0.5000 0.5000 1


# GGA-PBEsol CrIr2Os, optimized geometry
# Excess energy over the best structure of this formula in the dataset in eV per atom: 0.104
# E in Ha/atom: -0.389
# Fermi-level density of states in states/eV/f.u.: 3.49
# M_tot in μB/atom: 0.2383
# Energy of formation from the pure elements in kJ per mole of atoms: -7
data_CrIr2Os
_cell_length_a 2.6757
_cell_length_b 3.7676
_cell_length_c 5.3311
_cell_angle_alpha 90.00
_cell_angle_beta 90.00
_cell_angle_gamma 90.00
_symmetry_space_group_name_H-M 'P m m m'
_symmetry_Int_Tables_number 47
loop_
_symmetry_equiv_pos_as_xyz
'x,y,z'
'-x,-y,-z'
'-x,-y,z'
'x,y,-z'
'x,-y,-z'
'-x,y,z'
'-x,y,-z'
'x,-y,z'
loop_
_atom_site_label
_atom_site_type_symbol
_atom_site_fract_x
_atom_site_fract_y
_atom_site_fract_z
_atom_site_occupancy
Cr1 Cr 0.0000 0.0000 0.0000 1
Ir1 Ir 0.5000 0.5000 0.2453 1
Os1 Os 0.0000 0.0000 0.5000 1


# GGA-PBEsol Cr2IrOs, optimized geometry
# Excess energy over the best structure of this formula in the dataset in eV per atom: 0.008
# E in Ha/atom: -0.391
# Fermi-level density of states in states/eV/f.u.: 4.60
# M_tot in μB/atom: 0.0003
# Energy of formation from the pure elements in kJ per mole of atoms: -2
data_Cr2IrOs
_cell_length_a 2.6399
_cell_length_b 3.6486
_cell_length_c 5.2972
_cell_angle_alpha 90.00
_cell_angle_beta 90.00
_cell_angle_gamma 90.00
_symmetry_space_group_name_H-M 'P m m m'
_symmetry_Int_Tables_number 47
loop_
_symmetry_equiv_pos_as_xyz
'x,y,z'
'-x,-y,-z'
'-x,-y,z'
'x,y,-z'
'x,-y,-z'
'-x,y,z'
'-x,y,-z'
'x,-y,z'
loop_
_atom_site_label
_atom_site_type_symbol
_atom_site_fract_x
_atom_site_fract_y
_atom_site_fract_z
_atom_site_occupancy
Cr1 Cr 0.0000 0.0000 0.2467 1
Ir1 Ir 0.5000 0.5000 0.5000 1
Os1 Os 0.5000 0.5000 0.0000 1


# GGA-PBEsol Cr4IrOs, optimized geometry
# E in Ha/atom: -0.388
# Fermi-level density of states in states/eV/f.u.: 4.87
# M_tot in μB/atom: 0.0000
# Energy of formation from the pure elements in kJ per mole of atoms: -7
data_Cr4IrOs
_cell_length_a 6.5938
_cell_length_b 6.5938
_cell_length_c 6.5938
_cell_angle_alpha 90.00
_cell_angle_beta 90.00
_cell_angle_gamma 90.00
_symmetry_space_group_name_H-M 'F -4 3 m'
_symmetry_Int_Tables_number 216
_symmetry_space_group_name_Hall 'F -4 2 3'
loop_
_atom_site_label
_atom_site_type_symbol
_atom_site_fract_x
_atom_site_fract_y
_atom_site_fract_z
_atom_site_occupancy
Cr1 Cr 0.1248 0.1248 0.1248 1
Ir1 Ir 0.0000 0.0000 0.5000 1
Os1 Os 0.2500 0.2500 0.7500 1


# GGA-PBEsol CrIr2Os, optimized geometry
# Excess energy over the best structure of this formula in the dataset in eV per atom: 0.096
# E in Ha/atom: -0.390
# Fermi-level density of states in states/eV/f.u.: 3.49
# M_tot in μB/atom: 0.1425
# Energy of formation from the pure elements in kJ per mole of atoms: -7
data_CrIr2Os
_cell_length_a 3.7846
_cell_length_b 3.7846
_cell_length_c 7.4849
_cell_angle_alpha 90.00
_cell_angle_beta 90.00
_cell_angle_gamma 90.00
_symmetry_space_group_name_H-M 'I -4 m 2'
_symmetry_Int_Tables_number 119
_symmetry_space_group_name_Hall 'I -4 -2'
loop_
_atom_site_label
_atom_site_type_symbol
_atom_site_fract_x
_atom_site_fract_y
_atom_site_fract_z
_atom_site_occupancy
Cr1 Cr 0.0000 0.0000 0.0000 1
Ir1 Ir 0.0000 0.0000 0.5000 1
Ir2 Ir 0.0000 0.5000 0.7500 1
Os1 Os 0.0000 0.5000 0.2500 1


# GGA-PBEsol CrIr2Os, optimized geometry
# Excess energy over the best structure of this formula in the dataset in eV per atom: 0.069
# E in Ha/atom: -0.391
# Fermi-level density of states in states/eV/f.u.: 3.34
# M_tot in μB/atom: 0.2012
# Energy of formation from the pure elements in kJ per mole of atoms: -10
data_CrIr2Os
_cell_length_a 3.7627
_cell_length_b 3.7627
_cell_length_c 7.5815
_cell_angle_alpha 90.00
_cell_angle_beta 90.00
_cell_angle_gamma 90.00
_symmetry_space_group_name_H-M 'I 4/m m m'
_symmetry_Int_Tables_number 139
_symmetry_space_group_name_Hall '-I 4 2'
loop_
_atom_site_label
_atom_site_type_symbol
_atom_site_fract_x
_atom_site_fract_y
_atom_site_fract_z
_atom_site_occupancy
Cr1 Cr 0.0000 0.0000 0.0000 1
Ir1 Ir 0.0000 0.5000 0.2500 1
Os1 Os 0.0000 0.0000 0.5000 1


# GGA-PBEsol Cr2IrOs, optimized geometry
# Excess energy over the best structure of this formula in the dataset in eV per atom: 0.003
# E in Ha/atom: -0.392
# Fermi-level density of states in states/eV/f.u.: 4.42
# M_tot in μB/atom: 0.0003
# Energy of formation from the pure elements in kJ per mole of atoms: -3
data_Cr2IrOs
_cell_length_a 3.7401
_cell_length_b 3.7401
_cell_length_c 7.2884
_cell_angle_alpha 90.00
_cell_angle_beta 90.00
_cell_angle_gamma 90.00
_symmetry_space_group_name_H-M 'I 4/m m m'
_symmetry_Int_Tables_number 139
_symmetry_space_group_name_Hall '-I 4 2'
loop_
_atom_site_label
_atom_site_type_symbol
_atom_site_fract_x
_atom_site_fract_y
_atom_site_fract_z
_atom_site_occupancy
Cr1 Cr 0.0000 0.5000 0.2500 1
Ir1 Ir 0.0000 0.0000 0.0000 1
Os1 Os 0.0000 0.0000 0.5000 1


# GGA-PBEsol CrIr2Os, optimized geometry
# Excess energy over the best structure of this formula in the dataset in eV per atom: 0.088
# E in Ha/atom: -0.390
# Fermi-level density of states in states/eV/f.u.: 3.17
# M_tot in μB/atom: 0.2810
# Energy of formation from the pure elements in kJ per mole of atoms: -8
data_CrIr2Os
_cell_length_a 5.3340
_cell_length_b 7.5493
_cell_length_c 2.6792
_cell_angle_alpha 90.00
_cell_angle_beta 90.00
_cell_angle_gamma 90.00
_symmetry_space_group_name_H-M 'C m m m'
_symmetry_Int_Tables_number 65
_symmetry_space_group_name_Hall '-C 2 2'
loop_
_atom_site_label
_atom_site_type_symbol
_atom_site_fract_x
_atom_site_fract_y
_atom_site_fract_z
_atom_site_occupancy
Cr1 Cr 0.0000 0.0000 0.0000 1
Ir1 Ir 0.2500 0.2500 0.5000 1
Os1 Os 0.0000 0.5000 0.0000 1